12
Lattice="3.5743 -6.1867 0.0000 3.5743 6.1867 0.0000 -2.3845 0.0000 6.7631" Properties=species:S:1:pos:R:3 comment="LiCa3Y2Se6, optimized geometry, DFT PBE-GGA" e_form_raw_ev_per_atom=-1.868 dft_energy_ha_per_atom=-0.1965 pbc="T T T"
Li 0.0000 0.0000 0.0000
Ca 2.3820 4.1287 3.3815
Ca 2.3820 0.0000 3.3815
Ca 2.3820 -4.1287 3.3815
Y 3.5743 2.0621 0.0000
Y 3.5743 -2.0621 0.0000
Se 1.1871 2.0546 1.6323
Se -0.0102 0.0000 5.1328
Se 1.1871 -2.0546 1.6323
Se 3.5770 2.0546 5.1308
Se 4.7742 0.0000 1.6302
Se 3.5770 -2.0546 5.1308

=====

5
Lattice="1.8788 1.0847 9.9543 -1.8788 1.0847 9.9543 0.0000 -2.1695 9.9543" Properties=species:S:1:pos:R:3 comment="Pm2Hg2C, optimized geometry, DFT PBE-GGA" ef_kcal_per_mol_atoms=-6.4 dft_energy_ha_per_atom=-0.1523 pbc="T T T"
Pm 0.0000 0.0000 3.5865
Pm 0.0000 0.0000 26.2764
Hg 0.0000 0.0000 11.0383
Hg 0.0000 0.0000 18.8245
C 0.0000 0.0000 14.9314